First-principles (PBE) data for Dy3CoSe after structural relaxation, as listed in Alexandria via LeMat-Bulk.

Summary:
**Total energy**: -56.47 eV/cell
**Uncorrected formation energy**: -767 meV per atom
**V**: 237.9 Å³ per cell

Geometry as CIF:
```
data_Dy3CoSe
_chemical_formula_sum 'Dy6 Co2 Se2'
_cell_length_a 3.811
_cell_length_b 8.276
_cell_length_c 7.879
_cell_angle_alpha 106.77
_cell_angle_beta 90.00
_cell_angle_gamma 90.00
_space_group_name_H-M_alt 'P 1'
_space_group_IT_number 1
_space_group_name_Hall 'P 1'
loop_
_atom_site_label
_atom_site_fract_x
_atom_site_fract_y
_atom_site_fract_z
Dy1 0.250 0.598 0.326
Dy2 0.750 0.402 0.674
Dy3 0.250 0.059 0.692
Dy4 0.750 0.246 0.072
Dy5 0.750 0.941 0.308
Dy6 0.250 0.754 0.928
Co1 0.750 0.581 0.061
Co2 0.250 0.419 0.939
Se1 0.750 0.755 0.617
Se2 0.250 0.245 0.383
```